Below is a relaxed PmYHo6Er2 crystal, with properties calculated at the GGA-PBE level.

Calculated values
**Energy relative to the elements**: 12 kJ/mol of atoms
**SG**: C2/c (15)
**Total energy**: -4.659 eV per atom

Unit cell a=9.540 b=8.743 c=8.743 alpha=117.93 beta=93.91 gamma=93.91
Fractional positions:
Ho1 0.880 0.291 0.503
Ho2 0.120 0.709 0.497
Ho3 0.317 0.975 0.428
Ho4 0.944 0.877 0.249
Ho5 0.380 0.503 0.291
Ho6 0.556 0.751 0.123
Ho7 0.444 0.249 0.877
Ho8 0.620 0.497 0.709
Ho9 0.056 0.123 0.751
Ho10 0.683 0.025 0.572
Ho11 0.817 0.428 0.975
Ho12 0.183 0.572 0.025
Y1 0.250 0.976 0.024
Y2 0.750 0.024 0.976
Er1 0.956 0.699 0.807
Er2 0.544 0.193 0.301
Er3 0.044 0.301 0.193
Er4 0.456 0.807 0.699
Pm1 0.250 0.408 0.592
Pm2 0.750 0.592 0.408